# K3BeTe, optimized geometry, DFT GGA-PBE
data_K3BeTe
_chemical_formula_sum 'K3 Be1 Te1'
_symmetry_space_group_name_H-M 'P 1'
_symmetry_Int_Tables_number 1
_symmetry_space_group_name_Hall 'P 1'
_cell_length_a 6.667
_cell_length_b 6.667
_cell_length_c 6.667
_cell_angle_alpha 90.00
_cell_angle_beta 90.00
_cell_angle_gamma 90.00
loop_
_atom_site_label
_atom_site_fract_x
_atom_site_fract_y
_atom_site_fract_z
K1 0.000 0.000 0.500
K2 0.500 0.000 0.000
K3 0.000 0.500 0.000
Te1 0.000 0.000 0.000
Be1 0.500 0.500 0.500
# **SG**: Pm-3m, No. 221
# **Distance to the lowest polymorph of the same formula**: 0 meV per atom
# **N(E_F)**: 0.889 states/eV/atom

# Ce4Dy3PuS8, optimized geometry, DFT GGA-PBE
data_Ce4Dy3PuS8
_chemical_formula_sum 'Ce4 Dy3 Pu1 S8'
_symmetry_space_group_name_H-M 'P 1'
_symmetry_Int_Tables_number 1
_symmetry_space_group_name_Hall 'P 1'
_cell_length_a 7.910
_cell_length_b 7.966
_cell_length_c 7.910
_cell_angle_alpha 119.77
_cell_angle_beta 120.00
_cell_angle_gamma 90.00
loop_
_atom_site_label
_atom_site_fract_x
_atom_site_fract_y
_atom_site_fract_z
S1 0.744 0.740 0.992
S2 0.248 0.740 0.496
S3 0.752 0.260 0.008
S4 0.256 0.260 0.008
S5 0.254 0.262 0.508
S6 0.752 0.260 0.504
S7 0.248 0.740 0.992
S8 0.746 0.738 0.492
Dy1 0.500 0.500 0.000
Dy2 0.500 0.500 0.500
Dy3 0.000 0.500 0.500
Ce1 0.500 0.000 0.500
Ce2 0.000 0.000 0.500
Ce3 0.000 0.000 0.000
Ce4 0.500 0.000 0.000
Pu1 0.000 0.500 0.000
# **SG**: R-3m, No. 166
# **E**: -7.314 eV per atom
# **N(E_F)**: 1.386 states/eV/atom

# SmEuOs, optimized geometry, DFT GGA-PBE
data_SmEuOs
_chemical_formula_sum 'Sm1 Eu1 Os1'
_symmetry_space_group_name_H-M 'P 1'
_symmetry_Int_Tables_number 1
_symmetry_space_group_name_Hall 'P 1'
_cell_length_a 3.484
_cell_length_b 3.484
_cell_length_c 7.233
_cell_angle_alpha 103.94
_cell_angle_beta 103.94
_cell_angle_gamma 90.00
loop_
_atom_site_label
_atom_site_fract_x
_atom_site_fract_y
_atom_site_fract_z
Sm1 0.288 0.288 0.576
Os1 0.672 0.672 0.345
Eu1 0.039 0.039 0.079
# **SG**: I4mm, No. 107
# **Energy of formation**: 0.08 eV per atom
# **N(E_F)**: 2.642 states/eV/atom